[1]
SmCd2Au | Alexandria | GGA-PBE | relaxed; symmetry = Pmmn; V = 23.8 Å³/atom; M_tot = 0.000 Bohr magnetons per cell; formation enthalpy at 0 K = -180 kJ/mol of formula units
1.0
4.7065 0.0000 0.0000
0.0000 6.0846 0.0000
0.0000 0.0000 6.6504
Sm Cd Au
2 4 2
direct
0.2500 0.2500 0.0778
0.7500 0.7500 0.9222
0.2500 0.5063 0.6328
0.2500 0.9937 0.6328
0.7500 0.0063 0.3672
0.7500 0.4937 0.3672
0.2500 0.7500 0.2186
0.7500 0.2500 0.7814

---

[2]
Sm6CdAu5 | Alexandria | GGA-PBE | relaxed; symmetry = C2/m; V = 25.2 Å³/atom; M_tot = 0.000 Bohr magnetons per cell; formation enthalpy at 0 K = -828 kJ/mol of formula units
1.0
2.6111 -7.8906 0.0000
2.6111 7.8906 0.0000
-0.0060 0.0000 7.3421
Sm Cd Au
6 1 5
direct
0.9999 0.9999 0.2392
0.0001 0.0001 0.7608
0.3292 0.6703 0.2488
0.3297 0.6708 0.7512
0.6703 0.3292 0.2488
0.6708 0.3297 0.7512
0.5000 0.5000 0.5000
0.1544 0.8456 0.5000
0.1674 0.8326 0.0000
0.5000 0.5000 0.0000
0.8326 0.1674 0.0000
0.8456 0.1544 0.5000

---

[3]
Sm3CdAu4 | Alexandria | GGA-PBE | relaxed; symmetry = Immm; V = 26.1 Å³/atom; M_tot = 0.000 Bohr magnetons per cell; formation enthalpy at 0 K = -489 kJ/mol of formula units
1.0
-1.9778 3.5628 7.3973
1.9778 -3.5628 7.3973
1.9778 3.5628 -7.3973
Sm Cd Au
3 1 4
direct
0.0000 0.0000 0.0000
0.3091 0.8091 0.5000
0.6909 0.1909 0.5000
0.5000 0.5000 0.0000
0.0699 0.3700 0.6999
0.3299 0.6300 0.6999
0.6701 0.3700 0.3001
0.9301 0.6300 0.3001

---

[4]
Sm3CdAu4 | Alexandria | GGA-PBE | relaxed; symmetry = P4/mmm; V = 23.6 Å³/atom; M_tot = 0.000 Bohr magnetons per cell; formation enthalpy at 0 K = -541 kJ/mol of formula units
1.0
5.0494 0.0000 0.0000
0.0000 5.0494 0.0000
0.0000 0.0000 7.3978
Sm Cd Au
3 1 4
direct
0.0000 0.0000 0.0000
0.0000 0.0000 0.5000
0.5000 0.5000 0.0000
0.5000 0.5000 0.5000
0.0000 0.5000 0.2483
0.0000 0.5000 0.7517
0.5000 0.0000 0.2483
0.5000 0.0000 0.7517